(1)
DFT (PBE) results for crystalline MgTa2Te at its relaxed geometry.

As for the distance to the lowest polymorph of the same formula: 140 meV/atom. For the raw formation energy, the calculation gives 255 meV/atom.

The space group is C2/m (No. 12) and the conventional cell measures 9.913, 3.342 and 4.851 Å, with angles of 90.00, 99.27 and 90.00 degrees. The distinct sites, in fractional coordinates, are Mg at (0.000, 0.000, 0.000), Ta at (0.247, 0.000, 0.757) and Te at (0.000, 0.500, 0.500).

***

(2)
DFT (PBE) results for crystalline NpBe4Au8 at its relaxed geometry.

The formation energy is -0.107 eV/atom.

The space group is I4/mmm (No. 139) and the conventional cell measures 8.935, 8.935 and 5.255 Å, with angles of 90.00, 90.00 and 90.00 degrees. The distinct sites, in fractional coordinates, are Np at (0.000, 0.000, 0.000), Be at (0.250, 0.250, 0.250), Au at (0.000, 0.221, 0.500) and Au at (0.000, 0.330, 0.000).

***

(3)
DFT (PBE) results for crystalline PrBRhO5 at its relaxed geometry.

For the raw formation energy, the calculation gives -2049 meV/atom.

The space group is C2/c (No. 15) and the conventional cell measures 6.389, 8.853 and 6.821 Å, with angles of 90.00, 112.22 and 90.00 degrees. The distinct sites, in fractional coordinates, are Pr at (0.000, 0.145, 0.250), B at (0.000, 0.194, 0.750), Rh at (0.000, 0.500, 0.000), O at (0.000, 0.413, 0.250), O at (0.108, 0.282, 0.631) and O at (0.166, 0.086, 0.918).

***

(4)
DFT (PBE) results for crystalline Mg2In4Bi5 at its relaxed geometry.

The formation energy is 0.033 eV/atom.

The space group is C2/m (No. 12) and the conventional cell measures 9.937, 7.087 and 9.680 Å, with angles of 90.00, 97.91 and 90.00 degrees. The distinct sites, in fractional coordinates, are Mg at (0.164, 0.000, 0.301), In at (0.167, 0.500, 0.044), In at (0.174, 0.500, 0.414), Bi at (0.000, 0.000, 0.000) and Bi at (0.088, 0.253, 0.731).

***

(5)
DFT (PBE) results for crystalline ZrPaMoRh at its relaxed geometry.

The formation energy is -0.334 eV/atom.

The space group is F-43m (No. 216) and the conventional cell measures 6.780, 6.780 and 6.780 Å, with angles of 90.00, 90.00 and 90.00 degrees. The distinct sites, in fractional coordinates, are Zr at (0.000, 0.000, 0.000), Pa at (0.000, 0.000, 0.500), Mo at (0.250, 0.250, 0.250) and Rh at (0.250, 0.250, 0.750).

***

(6)
DFT (PBE) results for crystalline BaMg3As at its relaxed geometry.

As for the distance to the lowest polymorph of the same formula: 1355 meV/atom. The formation energy is 1.297 eV/atom.

The space group is Pm-3m (No. 221) and the conventional cell measures 6.565, 6.565 and 6.565 Å, with angles of 90.00, 90.00 and 90.00 degrees. The distinct sites, in fractional coordinates, are Ba at (0.000, 0.000, 0.000), Mg at (0.000, 0.000, 0.500) and As at (0.500, 0.500, 0.500).